Entry 1:
GePI2: optimized geometry, PBE-GGA.

Cell: 7.436 7.436 7.436 Å, 90.00 90.00 90.00°
Space group Fm-3m (No. 225)
Asymmetric unit:
Ge 0.000 0.000 0.000
P 0.000 0.000 0.500
I 0.250 0.250 0.250

Crystal system: cubic
M_tot (μB per atom): 0.000
Formation energy from raw total energies (kJ/mol of atoms): 71.5
ΔE to the lowest computed polymorph (meV/atom): 82.2

=====

Entry 2:
GeSbN2: optimized geometry, PBE-GGA.

Cell: 3.1046 3.1046 19.1197 Å, 90.00 90.00 120.00°
Space group R-3m (No. 166, hexagonal axes)
Asymmetric unit:
Ge 0.0000 0.0000 0.0000
Sb 0.0000 0.0000 0.5000
N 0.0000 0.0000 0.3859

Crystal system: trigonal
M_tot (μB per atom): 0.000
Formation energy from raw total energies (kJ/mol of atoms): 41.1
ΔE to the lowest computed polymorph (meV/atom): 0.0

=====

Entry 3:
Pr5Ho4Tm4: optimized geometry, PBE-GGA.

Cell: 12.949 12.949 5.064 Å, 90.00 90.00 90.00°
Space group I4/m (No. 87)
Asymmetric unit:
Pr 0.000 0.000 0.000
Pr 0.038 0.196 0.500
Ho 0.155 0.766 0.000
Tm 0.075 0.387 0.000

Crystal system: tetragonal
M_tot (μB per atom): 0.000
Formation energy from the elements (eV per atom): 0.03

=====

Entry 4:
Rb2Cu2NiCl6: optimized geometry, PBE-GGA.

Cell: 14.102 6.754 6.206 Å, 90.00 102.69 90.00°
Space group C2/m (No. 12)
Asymmetric unit:
Rb 0.209 0.000 0.207
Cu 0.030 0.500 0.233
Ni 0.000 0.000 0.500
Cl 0.063 0.229 0.745
Cl 0.188 0.500 0.254

Crystal system: monoclinic
M_tot (μB per atom): 0.000
Formation energy from raw total energies (kJ/mol of atoms): -98.4

=====

Entry 5:
NaLaPb2: optimized geometry, PBE-GGA.

Cell: 5.022 5.022 4.735 Å, 90.00 90.00 90.00°
Space group P4/mmm (No. 123)
Asymmetric unit:
Na 0.000 0.000 0.000
La 0.500 0.500 0.000
Pb 0.000 0.500 0.500

Crystal system: tetragonal
M_tot (μB per atom): 0.000
Formation energy from the elements (eV per atom): -0.42

=====

Entry 6:
Si2BiO6: optimized geometry, PBE-GGA.

Cell: 10.241 9.597 5.455 Å, 90.00 109.45 90.00°
Space group C2/c (No. 15)
Asymmetric unit:
Si 0.202 0.076 0.232
Bi 0.000 0.370 0.250
O 0.124 0.438 0.659
O 0.147 0.013 0.461
O 0.157 0.239 0.181

Crystal system: monoclinic
M_tot (μB per atom): 0.000
Formation energy from raw total energies (kJ/mol of atoms): -202.8

=====

Entry 7:
Eu3CoPb: optimized geometry, PBE-GGA.

Cell: 5.350 5.350 5.350 Å, 90.00 90.00 90.00°
Space group Pm-3m (No. 221)
Asymmetric unit:
Eu 0.000 0.000 0.500
Co 0.000 0.000 0.000
Pb 0.500 0.500 0.500

Crystal system: cubic
M_tot (μB per atom): 4.034
Formation energy from the elements (eV per atom): -0.12

=====

Entry 8:
DyPuSnO6: optimized geometry, PBE-GGA.

Cell: 5.5216 5.5216 9.7800 Å, 90.00 90.00 120.00°
Space group P-31c (No. 163)
Asymmetric unit:
Dy 0.0000 0.0000 0.0000
Pu 0.3333 0.6667 0.2500
Sn 0.3333 0.6667 0.7500
O 0.0064 0.3491 0.6345

Crystal system: trigonal
M_tot (μB per atom): 0.333
Formation energy from raw total energies (kJ/mol of atoms): -245.0

=====

Entry 9:
K2ScBr: optimized geometry, PBE-GGA.

Cell: 3.655 6.672 13.182 Å, 90.00 90.00 90.00°
Space group Imm2 (No. 44)
Asymmetric unit:
K 0.000 0.000 0.000
K 0.000 0.500 0.185
Sc 0.000 0.500 0.796
Br 0.000 0.000 0.459

Crystal system: orthorhombic
M_tot (μB per atom): 0.384
Formation energy from raw total energies (kJ/mol of atoms): -24.6
ΔE to the lowest computed polymorph (meV/atom): 108.3

=====

Entry 10:
TaMnPt4: optimized geometry, PBE-GGA.

Cell: 7.376 7.376 7.376 Å, 90.00 90.00 90.00°
Space group F-43m (No. 216)
Asymmetric unit:
Ta 0.000 0.000 0.000
Mn 0.250 0.250 0.750
Pt 0.125 0.125 0.375

Crystal system: cubic
M_tot (μB per atom): 0.642
ΔE to the lowest computed polymorph (meV/atom): 380.0
Formation energy from the elements (eV per atom): -0.17

=====

Entry 11:
YTlPb3: optimized geometry, PBE-GGA.

Cell: 5.768 5.768 5.768 Å, 90.00 90.00 90.00°
Space group Pm-3m (No. 221)
Asymmetric unit:
Y 0.000 0.000 0.000
Tl 0.500 0.500 0.500
Pb 0.000 0.500 0.500

Crystal system: cubic
M_tot (μB per atom): 0.000
ΔE to the lowest computed polymorph (meV/atom): 255.6
Formation energy from the elements (eV per atom): 0.55

=====

Entry 12:
YZn2: optimized geometry, PBE-GGA.

Cell: 3.310 3.310 10.982 Å, 90.00 90.00 90.00°
Space group I4/mmm (No. 139)
Asymmetric unit:
Y 0.000 0.000 0.000
Zn 0.000 0.000 0.313

Crystal system: tetragonal
M_tot (μB per atom): 0.061
Formation energy from the elements (eV per atom): -0.21